[1]
Here is crystalline MoOsRu2 at its relaxed geometry from the Alexandria database. Energies are from GGA-PBE.

a b c (Å): 2.7361 3.8504 5.5111
angles (deg): 90.00 90.00 90.00
Sites, in units of the cell vectors:
Mo 0.0000 0.0000 0.0000
Os 0.0000 0.0000 0.5000
Ru 0.5000 0.5000 0.2580
Ru 0.5000 0.5000 0.7420

Values from the calculation:
Energy relative to the lowest polymorph listed for this composition: 95 meV/atom
SG: Pmmm, No. 47

***

[2]
Here is crystalline MoOsRu2 at its relaxed geometry from the Alexandria database. Energies are from GGA-PBE.

a b c (Å): 2.7371 2.7371 7.7535
angles (deg): 90.00 90.00 90.00
Sites, in units of the cell vectors:
Mo 0.0000 0.0000 0.0000
Os 0.0000 0.0000 0.5000
Ru 0.5000 0.5000 0.2581
Ru 0.5000 0.5000 0.7419

Values from the calculation:
Energy relative to the lowest polymorph listed for this composition: 109 meV/atom
SG: P4/mmm, No. 123

***

[3]
Here is crystalline Mo2OsRu at its relaxed geometry from the Alexandria database. Energies are from GGA-PBE.

a b c (Å): 4.6359 4.6359 2.8355
angles (deg): 90.00 90.00 90.00
Sites, in units of the cell vectors:
Mo 0.0000 0.5000 0.0000
Mo 0.5000 0.0000 0.0000
Os 0.0000 0.0000 0.5000
Ru 0.5000 0.5000 0.5000

Values from the calculation:
Energy relative to the lowest polymorph listed for this composition: 240 meV/atom
SG: P4/mmm, No. 123

***

[4]
Here is crystalline Mo6OsRu at its relaxed geometry from the Alexandria database. Energies are from GGA-PBE.

a b c (Å): 4.9934 4.9934 4.9934
angles (deg): 90.00 90.00 90.00
Sites, in units of the cell vectors:
Mo 0.0000 0.2502 0.5000
Mo 0.0000 0.7498 0.5000
Mo 0.2502 0.5000 0.0000
Mo 0.5000 0.0000 0.2502
Mo 0.5000 0.0000 0.7498
Mo 0.7498 0.5000 0.0000
Os 0.0000 0.0000 0.0000
Ru 0.5000 0.5000 0.5000

Values from the calculation:
SG: Pm-3, No. 200

***

[5]
Here is crystalline Mo2OsRu at its relaxed geometry from the Alexandria database. Energies are from GGA-PBE.

a b c (Å): 5.5575 7.7585 2.7818
angles (deg): 90.00 90.00 90.00
Sites, in units of the cell vectors:
Mo 0.2500 0.2500 0.0000
Mo 0.2500 0.7500 0.0000
Mo 0.7500 0.2500 0.0000
Mo 0.7500 0.7500 0.0000
Os 0.0000 0.0000 0.5000
Os 0.5000 0.5000 0.5000
Ru 0.0000 0.5000 0.5000
Ru 0.5000 0.0000 0.5000

Values from the calculation:
Energy relative to the lowest polymorph listed for this composition: 13 meV/atom
SG: Cmmm, No. 65

***

[6]
Here is crystalline Mo3Os2Ru4 at its relaxed geometry from the Alexandria database. Energies are from GGA-PBE.

a b c (Å): 7.5673 7.5673 5.3412
angles (deg): 91.73 91.73 61.79
Sites, in units of the cell vectors:
Mo 0.0083 0.9917 0.7500
Mo 0.2990 0.3942 0.7683
Mo 0.3942 0.2990 0.2683
Mo 0.6058 0.7010 0.7317
Mo 0.7010 0.6058 0.2317
Mo 0.9917 0.0083 0.2500
Os 0.0469 0.6238 0.1265
Os 0.3762 0.9531 0.3735
Os 0.6238 0.0469 0.6265
Os 0.9531 0.3762 0.8735
Ru 0.0587 0.3135 0.4010
Ru 0.3007 0.6582 0.4870
Ru 0.3135 0.0587 0.9010
Ru 0.3418 0.6993 0.0130
Ru 0.6582 0.3007 0.9870
Ru 0.6865 0.9413 0.0990
Ru 0.6993 0.3418 0.5130
Ru 0.9413 0.6865 0.5990

Values from the calculation:
SG: C2/c, No. 15

***

[7]
Here is crystalline MoOsRu3 at its relaxed geometry from the Alexandria database. Energies are from GGA-PBE.

a b c (Å): 5.3613 5.3613 11.5808
angles (deg): 90.00 90.00 120.00
Sites, in units of the cell vectors:
Mo 0.0000 0.0000 0.0000
Mo 0.3333 0.6667 0.6667
Mo 0.6667 0.3333 0.3333
Os 0.0000 0.0000 0.5000
Os 0.3333 0.6667 0.1667
Os 0.6667 0.3333 0.8333
Ru 0.0000 0.5000 0.0000
Ru 0.1667 0.3333 0.3333
Ru 0.1667 0.8333 0.3333
Ru 0.3333 0.1667 0.6667
Ru 0.5000 0.0000 0.0000
Ru 0.5000 0.5000 0.0000
Ru 0.6667 0.8333 0.3333
Ru 0.8333 0.1667 0.6667
Ru 0.8333 0.6667 0.6667

Values from the calculation:
Energy relative to the lowest polymorph listed for this composition: 1465 meV/atom
SG: R-3m, No. 166

***

[8]
Here is crystalline MoOs4Ru at its relaxed geometry from the Alexandria database. Energies are from GGA-PBE.

a b c (Å): 7.0608 4.7889 5.1595
angles (deg): 90.00 96.14 90.00
Sites, in units of the cell vectors:
Mo 0.0000 0.0850 0.2500
Mo 0.0000 0.9150 0.7500
Os 0.1688 0.4200 0.9142
Os 0.1688 0.5800 0.4142
Os 0.3342 0.0870 0.5850
Os 0.3342 0.9130 0.0850
Os 0.6658 0.0870 0.9150
Os 0.6658 0.9130 0.4150
Os 0.8312 0.4200 0.5858
Os 0.8312 0.5800 0.0858
Ru 0.5000 0.4186 0.2500
Ru 0.5000 0.5814 0.7500

Values from the calculation:
Energy relative to the lowest polymorph listed for this composition: 0 meV/atom
SG: P2/c, No. 13

***

[9]
Here is crystalline MoOs2Ru5 at its relaxed geometry from the Alexandria database. Energies are from GGA-PBE.

a b c (Å): 6.4443 5.4911 5.1410
angles (deg): 74.54 55.21 50.25
Sites, in units of the cell vectors:
Mo 0.0000 0.0000 0.0000
Os 0.4178 0.9159 0.0841
Os 0.9159 0.4178 0.5822
Ru 0.4187 0.4187 0.0813
Ru 0.4983 0.9988 0.5017
Ru 0.5008 0.5008 0.4992
Ru 0.9187 0.9187 0.5813
Ru 0.9988 0.4983 0.0012

Values from the calculation:
SG: Fmm2, No. 42

***

[10]
Here is crystalline Mo2OsRu at its relaxed geometry from the Alexandria database. Energies are from GGA-PBE.

a b c (Å): 5.4784 5.4858 7.9969
angles (deg): 90.00 90.00 90.00
Sites, in units of the cell vectors:
Mo 0.0000 0.0000 0.0000
Mo 0.0000 0.5000 0.5000
Mo 0.2500 0.2500 0.2500
Mo 0.2500 0.7500 0.7500
Mo 0.5000 0.0000 0.5000
Mo 0.5000 0.5000 0.0000
Mo 0.7500 0.2500 0.7500
Mo 0.7500 0.7500 0.2500
Os 0.2500 0.2500 0.7500
Os 0.2500 0.7500 0.2500
Os 0.7500 0.2500 0.2500
Os 0.7500 0.7500 0.7500
Ru 0.0000 0.0000 0.5000
Ru 0.0000 0.5000 0.0000
Ru 0.5000 0.0000 0.0000
Ru 0.5000 0.5000 0.5000

Values from the calculation:
Energy relative to the lowest polymorph listed for this composition: 45 meV/atom
SG: F222, No. 22

***

Which ΔE_f belongs to each record? In order, 68; 82; 292; 18; 65; 174; 1437; -17; -46; 97 meV/atom.
Which volume belongs to each record? In order, 58.1; 58.1; 60.9; 124.5; 119.9; 269.4; 288.3; 173.5; 113.5; 240.3 Å³ per cell.